Compound: ZrZnRh4
Source: the Alexandria database
Functional: PBE
Structure: optimized geometry

a b c (Å): 2.9110 4.5056 7.4429
angles (deg): 90.00 87.72 90.00
Fractional positions:
Zr 0.5014 0.4971 0.9981
Zn 0.0014 0.9974 0.4982
Rh 0.5199 0.9972 0.2099
Rh 0.4826 0.9972 0.7864
Rh 0.0037 0.4973 0.6935
Rh 0.9988 0.4973 0.3027

The total energy comes out at -6.7235 eV per atom. Its calculated formation energy is -0.185 eV/atom. The total moment is 0.00 μB/atom. The space-group type is No. 10.